RePdPt | OQMD via LeMat-Bulk | PBE | optimized geometry; VASP energy = -21.87 eV/f.u.; energy above the most stable polymorph in this dataset = 0 meV/atom; spin magnetization = 0.011 μB per cell; calculated formation energy = 594 meV per atom
1.0
5.9740 0.0000 0.0000
0.0000 5.9740 0.0000
0.0000 0.0000 5.9740
Re Pd Pt
4 4 4
Direct
0.0000 0.0000 0.0000
0.0000 0.5000 0.5000
0.5000 0.0000 0.5000
0.5000 0.5000 0.0000
0.0000 0.0000 0.5000
0.0000 0.5000 0.0000
0.5000 0.0000 0.0000
0.5000 0.5000 0.5000
0.2500 0.2500 0.7500
0.2500 0.7500 0.2500
0.7500 0.2500 0.2500
0.7500 0.7500 0.7500